Entry from Alexandria via LeMat-Bulk: a geometry-optimized PAu2Cl structure (PBE).

a b c (Å): 7.265 7.265 7.265
angles (deg): 30.27 30.27 30.27
Fractional positions:
Au: 0.743 0.743 0.743
Au: 0.996 0.996 0.996
Cl: 0.483 0.483 0.483
P: 0.279 0.279 0.279

Values from the calculation:
Theoretical density, Mg/m³: 8.85
Space group: R3m (160)
Total magnetization, μB per formula unit: 0.000
Raw formation energy, eV/f.u.: 0.43